Entry 1:
VASP calculation (GGA-PBE) on an optimized crystal structure of Pm3Tm12Cd.

Computed properties:
SG: P4/mmm (123)
crystal system: tetragonal

Cell: 4.9312 4.9312 19.8626 Å, 90.00 90.00 90.00°
Closest atoms and distances in Å follow each position.
Fractional positions:
Pm1 0.0000 0.0000 0.2477  12 Tm 3.49-3.54
Pm2 0.0000 0.0000 0.5000  12 Tm 3.49-3.53
Pm3 0.0000 0.0000 0.7523  12 Tm 3.49-3.54
Tm1 0.5000 0.5000 0.0000  8 Tm 3.43, 4 Cd 3.49
Tm2 0.5000 0.5000 0.2429  8 Tm 3.47-3.57, 4 Pm 3.49
Tm3 0.5000 0.5000 0.5000  4 Pm 3.49, 8 Tm 3.53
Tm4 0.5000 0.5000 0.7571  8 Tm 3.47-3.57, 4 Pm 3.49
Tm5 0.5000 0.0000 0.1199  8 Tm 3.43-3.49, 2 Cd 3.43, 2 Pm 3.54
Tm6 0.5000 0.0000 0.3728  8 Tm 3.49-3.57, 4 Pm 3.50-3.53
Tm7 0.5000 0.0000 0.6272  8 Tm 3.49-3.57, 4 Pm 3.50-3.53
Tm8 0.5000 0.0000 0.8801  8 Tm 3.43-3.49, 2 Cd 3.43, 2 Pm 3.54
Tm9 0.0000 0.5000 0.1199  2 Cd 3.43, 8 Tm 3.43-3.49, 2 Pm 3.54
Tm10 0.0000 0.5000 0.3728  8 Tm 3.49-3.57, 4 Pm 3.50-3.53
Tm11 0.0000 0.5000 0.6272  8 Tm 3.49-3.57, 4 Pm 3.50-3.53
Tm12 0.0000 0.5000 0.8801  2 Cd 3.43, 8 Tm 3.43-3.49, 2 Pm 3.54
Cd1 0.0000 0.0000 0.0000  12 Tm 3.43-3.49

***

Entry 2:
VASP calculation (GGA-PBE) on an optimized crystal structure of PmTm2Cd4.

Computed properties:
SG: I4/mmm (139)
crystal system: tetragonal

Cell: 5.3200 5.3200 7.9113 Å, 109.65 109.65 90.00°
Closest atoms and distances in Å follow each position.
Fractional positions:
Cd1 0.3794 0.8794 0.7588  2 Pm 3.15, 4 Tm 3.15-3.27, 1 Cd 3.36
Cd2 0.8794 0.3794 0.7588  2 Pm 3.15, 4 Tm 3.15-3.27, 1 Cd 3.36
Cd3 0.6206 0.1206 0.2412  2 Pm 3.15, 4 Tm 3.15-3.27, 1 Cd 3.36
Cd4 0.1206 0.6206 0.2412  2 Pm 3.15, 4 Tm 3.15-3.27, 1 Cd 3.36
Tm1 0.7424 0.7424 0.4848  8 Cd 3.15-3.27
Tm2 0.2576 0.2576 0.5152  8 Cd 3.15-3.27
Pm1 0.0000 0.0000 0.0000  8 Cd 3.15

***

Entry 3:
VASP calculation (GGA-PBE) on an optimized crystal structure of Pm14TmCd.

Computed properties:
SG: Amm2 (38)
crystal system: orthorhombic

Cell: 7.1844 7.1844 10.2527 Å, 90.00 90.00 90.02°
Closest atoms and distances in Å follow each position.
Fractional positions:
Pm1 0.3754 0.6246 0.5000  12 Pm 3.59-3.65
Pm2 0.8749 0.1251 0.5000  12 Pm 3.59-3.64
Pm3 0.8752 0.6257 0.0000  8 Pm 3.57-3.58, 2 Cd 3.59-3.60, 2 Tm 3.59
Pm4 0.8750 0.6246 0.5000  12 Pm 3.59-3.64
Pm5 0.3743 0.1248 0.0000  8 Pm 3.57-3.58, 2 Cd 3.59-3.60, 2 Tm 3.59
Pm6 0.3754 0.1250 0.5000  12 Pm 3.59-3.64
Pm7 0.6256 0.8757 0.7547  1 Cd 3.57, 10 Pm 3.57-3.65, 1 Tm 3.58
Pm8 0.6256 0.8757 0.2453  1 Cd 3.57, 10 Pm 3.57-3.65, 1 Tm 3.58
Pm9 0.1243 0.3744 0.7547  1 Cd 3.57, 10 Pm 3.57-3.65, 1 Tm 3.58
Pm10 0.1243 0.3744 0.2453  1 Cd 3.57, 10 Pm 3.57-3.65, 1 Tm 3.58
Pm11 0.1245 0.8755 0.7541  10 Pm 3.57-3.65, 1 Cd 3.58, 1 Tm 3.58
Pm12 0.1245 0.8755 0.2459  10 Pm 3.57-3.65, 1 Cd 3.58, 1 Tm 3.58
Pm13 0.6256 0.3744 0.7551  1 Cd 3.57, 10 Pm 3.58-3.65, 1 Tm 3.58
Pm14 0.6256 0.3744 0.2449  1 Cd 3.57, 10 Pm 3.58-3.65, 1 Tm 3.58
Tm1 0.3749 0.6251 0.0000  12 Pm 3.58-3.59
Cd1 0.8747 0.1253 0.0000  12 Pm 3.57-3.60

***

Entry 4:
VASP calculation (GGA-PBE) on an optimized crystal structure of PmTm7Cd4.

Computed properties:
SG: C2/m (12)
crystal system: monoclinic

Cell: 5.6520 8.9242 7.8099 Å, 69.84 68.79 71.54°
Closest atoms and distances in Å follow each position.
Fractional positions:
Pm1 0.0000 0.0000 0.0000  2 Tm 2.83
Tm1 0.7934 0.8802 0.5331  3 Cd 3.28-3.50, 5 Tm 3.44-3.52
Tm2 0.2066 0.1198 0.4669  3 Cd 3.28-3.50, 5 Tm 3.44-3.52
Tm3 0.0726 0.5846 0.2703  3 Cd 3.07-3.18, 2 Tm 3.28-3.43
Tm4 0.9274 0.4154 0.7297  3 Cd 3.07-3.18, 2 Tm 3.28-3.43
Tm5 0.2622 0.6934 0.7822  4 Cd 2.95-3.14
Tm6 0.5000 0.0000 0.0000  2 Pm 2.83, 4 Cd 2.93-3.14
Tm7 0.7378 0.3066 0.2178  4 Cd 2.95-3.14
Cd1 0.5419 0.2884 0.6278  4 Tm 2.95-3.18, 1 Cd 3.02
Cd2 0.4581 0.7116 0.3722  4 Tm 2.95-3.18, 1 Cd 3.02
Cd3 0.6817 0.6599 0.9767  5 Tm 2.93-3.14, 1 Cd 3.02
Cd4 0.3183 0.3401 0.0233  5 Tm 2.93-3.14, 1 Cd 3.02

***

Entry 5:
VASP calculation (GGA-PBE) on an optimized crystal structure of Pm4Tm5Cd.

Computed properties:
SG: I4mm (107)
excess energy over the best structure of this formula in the dataset: 155.6 meV/atom
crystal system: tetragonal

Cell: 5.6821 8.0696 8.0696 Å, 82.88 69.39 69.39°
Closest atoms and distances in Å follow each position.
Fractional positions:
Pm1 0.4634 0.3176 0.6825  7 Tm 3.38-3.77, 1 Cd 3.77
Pm2 0.7810 0.6825 0.6824  7 Tm 3.38-3.77, 1 Cd 3.77
Pm3 0.1458 0.3175 0.3176  7 Tm 3.38-3.77, 1 Cd 3.77
Pm4 0.4635 0.6824 0.3175  7 Tm 3.38-3.77, 1 Cd 3.77
Tm1 0.7725 0.3670 0.0005  1 Cd 3.04, 1 Tm 3.25, 2 Pm 3.38
Tm2 0.1395 0.0005 0.6330  1 Cd 3.04, 1 Tm 3.25, 2 Pm 3.38
Tm3 0.7730 0.9995 0.3670  1 Cd 3.04, 1 Tm 3.25, 2 Pm 3.38
Tm4 0.1400 0.6330 0.9995  1 Cd 3.04, 1 Tm 3.25, 2 Pm 3.38
Tm5 0.6574 0.0000 0.0000  2 Cd 2.75-2.94
Cd1 0.1742 0.0000 0.0000  6 Tm 2.75-3.04

***

Entry 6:
VASP calculation (GGA-PBE) on an optimized crystal structure of Pm2Tm5Cd.

Computed properties:
SG: P1 (1)
crystal system: triclinic

Cell: 7.0070 8.3008 6.5933 Å, 124.99 122.10 89.95°
Closest atoms and distances in Å follow each position.
Fractional positions:
Pm1 0.2533 0.8101 0.5061  10 Tm 3.37-3.57, 1 Cd 3.41, 1 Pm 3.50
Pm2 0.6706 0.1229 0.3443  9 Tm 3.42-3.63, 1 Pm 3.50, 2 Cd 3.50-3.52
Tm1 0.7638 0.3060 0.0293  2 Cd 3.40-3.45, 6 Tm 3.44-3.54, 4 Pm 3.48-3.55
Tm2 0.2642 0.3061 0.0269  2 Cd 3.42-3.44, 6 Tm 3.43-3.55, 4 Pm 3.48-3.55
Tm3 0.6697 0.6349 0.8597  6 Tm 3.35-3.65, 4 Pm 3.37-3.62, 2 Cd 3.40-3.65
Tm4 0.1910 0.6346 0.8594  6 Tm 3.35-3.65, 4 Pm 3.38-3.63, 2 Cd 3.39-3.66
Tm5 0.7800 0.8100 0.5596  1 Cd 3.34, 8 Tm 3.40-3.55, 3 Pm 3.52
Cd1 0.1843 0.1523 0.3687  9 Tm 3.34-3.66, 3 Pm 3.41-3.52

***

Entry 7:
VASP calculation (GGA-PBE) on an optimized crystal structure of PmTm4Cd5.

Computed properties:
SG: P4/mmm (123)
crystal system: tetragonal

Cell: 3.7104 3.7104 18.7537 Å, 90.00 90.00 90.00°
Closest atoms and distances in Å follow each position.
Fractional positions:
Pm1 0.0000 0.0000 0.0000  8 Cd 3.33, 4 Pm 3.71
Tm1 0.0000 0.0000 0.2055  8 Cd 3.18-3.20
Tm2 0.0000 0.0000 0.4022  8 Cd 3.20-3.21
Tm3 0.0000 0.0000 0.5978  8 Cd 3.20-3.21
Tm4 0.0000 0.0000 0.7945  8 Cd 3.18-3.20
Cd1 0.5000 0.5000 0.1096  4 Tm 3.18, 4 Pm 3.33
Cd2 0.5000 0.5000 0.3036  8 Tm 3.20-3.21
Cd3 0.5000 0.5000 0.5000  8 Tm 3.20
Cd4 0.5000 0.5000 0.6964  8 Tm 3.20-3.21
Cd5 0.5000 0.5000 0.8904  4 Tm 3.18, 4 Pm 3.33

***

Entry 8:
VASP calculation (GGA-PBE) on an optimized crystal structure of PmTmCd4.

Computed properties:
SG: Pmmm (47)
excess energy over the best structure of this formula in the dataset: 0.9 meV/atom
crystal system: orthorhombic

Cell: 3.4228 6.0644 8.6674 Å, 90.00 90.00 124.37°
Closest atoms and distances in Å follow each position.
Fractional positions:
Pm1 0.5014 0.4973 0.9981  12 Cd 3.38-3.39, 2 Pm 3.42
Tm1 0.0014 0.9973 0.4982  12 Cd 3.32-3.35, 2 Tm 3.42
Cd1 0.5012 0.9973 0.1697  3 Cd 2.88-2.97
Cd2 0.5012 0.9973 0.8267  3 Cd 2.88-2.97
Cd3 0.0014 0.4973 0.6612  3 Cd 2.83-2.88
Cd4 0.0012 0.4973 0.3350  3 Cd 2.83-2.88

***

Number 1: formation enthalpy at 0 K 0.002 eV per atom, total moment 0.0 μB/f.u., DOS(E_F) 19.544 states/eV per cell. Number 2: formation enthalpy at 0 K -0.139 eV per atom, total moment 0.0 μB/f.u., DOS(E_F) 4.469 states/eV per cell. Number 3: formation enthalpy at 0 K -0.011 eV per atom, total moment 0.0 μB/f.u., DOS(E_F) 19.719 states/eV per cell. Number 4: formation enthalpy at 0 K 0.026 eV per atom, total moment 0.0 μB/f.u., DOS(E_F) 13.355 states/eV per cell. Number 5: formation enthalpy at 0 K 0.109 eV per atom, total moment 0.0 μB/f.u., DOS(E_F) 13.426 states/eV per cell. Number 6: formation enthalpy at 0 K -0.042 eV per atom, total moment 0.0 μB/f.u., DOS(E_F) 9.543 states/eV per cell. Number 7: formation enthalpy at 0 K -0.311 eV per atom, total moment 0.4 μB/f.u., DOS(E_F) 9.098 states/eV per cell. Number 8: formation enthalpy at 0 K -0.312 eV per atom, total moment 0.0 μB/f.u., DOS(E_F) 4.382 states/eV per cell.